(1)
AgBr5: PBEsol geometry, SCAN.

Computed properties:
- Calculated density: 5.6 g cm⁻³
- Energy relative to the elements, uncorrected: 587.0 meV/atom

Lattice parameters (Å, degrees): 5.9830 5.9830 5.9830 60.00 60.00 60.00
Closest atoms and distances in Å follow each position.
Sites, in units of the cell vectors:
Br 0.6251 0.6251 0.1246  6 Br 2.99
Br 0.1246 0.6251 0.6251  6 Br 2.99
Br 0.6251 0.1246 0.6251  6 Br 2.99
Br 0.6251 0.6251 0.6251  6 Br 2.99
Br 0.2500 0.2500 0.2500  12 Br 3.51, 4 Ag 3.66
Ag 0.0000 0.0000 0.0000  16 Br 3.51-3.66



(2)
CaAgSeBr2: PBEsol geometry, SCAN.

Computed properties:
- Calculated density: 3.9 g cm⁻³
- Energy relative to the elements, uncorrected: -626.5 meV/atom

Lattice parameters (Å, degrees): 5.4275 5.4275 5.5679 90.00 90.00 90.00
Closest atoms and distances in Å follow each position.
Sites, in units of the cell vectors:
Ag 0.5000 0.5000 0.5000  4 Se 3.84, 8 Br 3.89
Ca 0.0000 0.0000 0.0000  4 Br 2.71, 2 Se 2.78
Br 0.5000 0.0000 0.0000  2 Ca 2.71
Br 0.0000 0.5000 0.0000  2 Ca 2.71
Se 0.0000 0.0000 0.5000  2 Ca 2.78



(3)
CaAgSe2Br: PBEsol geometry, SCAN.

Computed properties:
- Calculated density: 4.1 g cm⁻³
- Energy relative to the elements, uncorrected: -222.5 meV/atom

Lattice parameters (Å, degrees): 5.4196 5.3838 5.3838 90.00 90.00 90.00
Closest atoms and distances in Å follow each position.
Sites, in units of the cell vectors:
Br 0.5000 0.0000 0.0000  2 Ca 2.71
Se 0.0000 0.0000 0.5000  2 Ca 2.69
Se 0.0000 0.5000 0.0000  2 Ca 2.69
Ag 0.5000 0.5000 0.5000  4 Br 3.81, 8 Se 3.82
Ca 0.0000 0.0000 0.0000  4 Se 2.69, 2 Br 2.71



(4)
Cr2CdAgBr: PBEsol geometry, SCAN.

Computed properties:
- Calculated density: 5.1 g cm⁻³
- Energy relative to the elements, uncorrected: 804.0 meV/atom

Lattice parameters (Å, degrees): 5.0200 5.1307 5.1307 90.00 90.00 90.00
Closest atoms and distances in Å follow each position.
Sites, in units of the cell vectors:
Cr 0.0000 0.5000 0.0000  2 Cd 2.57
Cr 0.0000 0.0000 0.5000  2 Cd 2.57
Cd 0.0000 0.0000 0.0000  2 Ag 2.51, 4 Cr 2.57
Ag 0.5000 0.0000 0.0000  2 Cd 2.51
Br 0.5000 0.5000 0.5000  8 Cr 3.59, 4 Ag 3.63